Tb12YSc7 | PBE | relaxed

Results
excess energy over the best structure of this formula in the dataset = 11.56 kcal/mol of atoms
total magnetization = 0.01 Bohr magnetons per cell
electronic total energy = -4.65 eV per atom
ρ = 5.77 g/cm3

abc: 10.995 10.995 10.995
angles: 90.00 90.00 90.00
Space group Im-3 (No. 204)
Unique sites:
1 Tb 0.000 0.260 0.262 x24
2 Y 0.000 0.000 0.000 x2
3 Sc 0.000 0.000 0.500 x6
4 Sc 0.250 0.250 0.250 x8